Here is a geometry-optimized Sr3Ac4Ru2 structure from Alexandria. Energies are from GGA-PBE.

```
Sr3Ac4Ru2
1.0
4.2357 0.0000 0.0000
-2.1179 9.6837 -4.2049
0.0000 -1.4633 10.1744
Ac Ru Sr
4 2 3
Direct
0.2905 0.5811 0.8895 Ac
0.7095 0.4189 0.1105 Ac
0.0754 0.1509 0.7189 Ac
0.9246 0.8491 0.2811 Ac
0.6759 0.3517 0.7855 Ru
0.3241 0.6483 0.2145 Ru
0.6444 0.2888 0.4625 Sr
0.3556 0.7112 0.5375 Sr
0.0000 0.0000 0.0000 Sr
```

Values from the calculation:
- ΔE_f: -59 meV/atom

Here is a geometry-optimized Na2Cu5TeS3O19 structure from Alexandria. Energies are from GGA-PBE.

```
Na2Cu5TeS3O19
1.0
7.5161 -0.0415 0.0000
-3.4732 8.6142 0.0000
0.0000 0.0000 11.8825
O S Na Cu Te
38 6 4 10 2
Direct
0.6515 0.7423 0.2500 O
0.7677 0.4715 0.6462 O
0.2208 0.0098 0.1195 O
0.3645 0.8433 0.4788 O
0.3903 0.2870 0.9832 O
0.3756 0.5506 0.8711 O
0.9794 0.2520 0.5666 O
0.2323 0.5285 0.1462 O
0.6097 0.7130 0.0168 O
0.8323 0.0566 0.4192 O
0.7677 0.4715 0.8538 O
0.1758 0.2891 0.2500 O
0.9324 0.4043 0.2500 O
0.7792 0.9902 0.8805 O
0.0206 0.7480 0.0666 O
0.3903 0.2870 0.5168 O
0.2208 0.0098 0.3805 O
0.5396 0.1631 0.2500 O
0.6097 0.7130 0.4832 O
0.9794 0.2520 0.9334 O
0.8242 0.7109 0.7500 O
0.1677 0.9434 0.9192 O
0.5844 0.1356 0.7500 O
0.6355 0.1567 0.9788 O
0.3485 0.2577 0.7500 O
0.6355 0.1567 0.5212 O
0.1677 0.9434 0.5808 O
0.3756 0.5506 0.6289 O
0.3645 0.8433 0.0212 O
0.4156 0.8644 0.2500 O
0.2323 0.5285 0.3538 O
0.0676 0.5957 0.7500 O
0.6244 0.4494 0.1289 O
0.0206 0.7480 0.4334 O
0.4604 0.8369 0.7500 O
0.8323 0.0566 0.0808 O
0.7792 0.9902 0.6195 O
0.6244 0.4494 0.3711 O
0.1497 0.4384 0.2500 S
0.1855 0.8862 0.4691 S
0.1855 0.8862 0.0309 S
0.8145 0.1138 0.5309 S
0.8503 0.5616 0.7500 S
0.8145 0.1138 0.9691 S
0.0000 0.5000 0.0000 Na
0.0000 0.5000 0.5000 Na
0.0278 0.9654 0.7500 Na
0.9722 0.0346 0.2500 Na
0.5534 0.7865 0.6229 Cu
0.5020 0.7846 0.3664 Cu
0.5000 0.5000 0.0000 Cu
0.5020 0.7846 0.1336 Cu
0.5534 0.7865 0.8771 Cu
0.4980 0.2154 0.6337 Cu
0.4466 0.2135 0.1229 Cu
0.5000 0.5000 0.5000 Cu
0.4980 0.2154 0.8664 Cu
0.4466 0.2135 0.3771 Cu
0.2246 0.4209 0.7500 Te
0.7754 0.5791 0.2500 Te
```

Values from the calculation:
- Formation energy (no corrections): -1.01 eV/atom

Here is a geometry-optimized LiAl2Pt structure from Alexandria. Energies are from GGA-PBE.

```
LiAl2Pt
1.0
4.7284 -0.0287 0.0165
3.1932 3.4874 0.0165
1.5496 0.6766 3.4449
Pt Al Li
1 2 1
Direct
0.2499 0.2499 0.2500 Pt
0.7500 0.7500 0.7500 Al
0.0000 0.0000 0.0000 Al
0.5001 0.5001 0.4999 Li
```

Values from the calculation:
- ΔE_f: -662 meV/atom

Here is a geometry-optimized Ca2PH structure from Alexandria. Energies are from GGA-PBE.

```
Ca2PH
1.0
-7.0783 0.0376 -0.1544
2.3944 -5.5612 3.1943
2.2104 6.7247 5.4780
Ca P H
8 4 4
Direct
0.0583 0.3198 0.1196 Ca
0.3057 0.5390 0.6125 Ca
0.4387 0.2002 0.8804 Ca
0.9417 0.6802 0.8804 Ca
0.1932 0.9265 0.3875 Ca
0.8068 0.0735 0.6125 Ca
0.5613 0.7998 0.1196 Ca
0.6943 0.4610 0.3875 Ca
0.1824 0.4324 0.8648 P
0.4384 0.6884 0.3767 P
0.5616 0.3116 0.6233 P
0.8176 0.5676 0.1352 P
0.9408 0.1908 0.3816 H
0.0592 0.8092 0.6184 H
0.7124 0.9624 0.9247 H
0.2876 0.0376 0.0753 H
```

Values from the calculation:
- ΔE to the lowest computed polymorph: 72 meV/atom

Here is a geometry-optimized NaSr2Eu structure from Alexandria. Energies are from GGA-PBE.

```
NaSr2Eu
1.0
4.5224 0.0000 0.0000
0.0000 4.5224 0.0000
0.0000 0.0000 9.2798
Na Sr Eu
1 2 1
Direct
0.5000 0.5000 0.0000 Na
0.0000 0.0000 0.2396 Sr
0.0000 0.0000 0.7604 Sr
0.5000 0.5000 0.5000 Eu
```

Values from the calculation:
- ΔE to the lowest computed polymorph: 0 meV/atom
- ΔE_f: 30 meV/atom

Here is a geometry-optimized Dy3Zn3Ga structure from Alexandria. Energies are from GGA-PBE.

```
Dy3Zn3Ga
1.0
4.3504 0.0000 -0.9491
-0.1769 3.4915 -0.8111
-0.0878 0.4840 10.0428
Zn Dy Ga
3 3 1
Direct
0.8600 0.3600 0.7199 Zn
0.1386 0.6386 0.2772 Zn
0.5671 0.5671 0.1342 Zn
0.6929 0.1929 0.3857 Dy
0.3067 0.8067 0.6135 Dy
0.9998 0.9998 0.9996 Dy
0.4349 0.4349 0.8698 Ga
```

Values from the calculation:
- ΔE_f: -396 meV/atom

Here is a geometry-optimized Y2TaC structure from Alexandria. Energies are from GGA-PBE.

```
Y2TaC
1.0
9.3569 0.0000 0.0000
0.0000 9.3569 0.0000
4.6784 4.6784 2.1120
Y C Ta
4 2 2
Direct
0.2809 0.6250 0.2500 Y
0.3750 0.5309 0.7500 Y
0.8750 0.7191 0.7500 Y
0.4691 0.1250 0.2500 Y
0.2500 0.7500 0.5000 C
0.5000 0.5000 0.0000 C
0.7500 0.2500 0.5000 Ta
0.0000 0.0000 0.0000 Ta
```

Values from the calculation:
- ΔE_f: 221 meV/atom

Here is a geometry-optimized Ti6Nb5Au structure from Alexandria. Energies are from GGA-PBE.

```
Ti6Nb5Au
1.0
4.4752 -0.0017 -1.2530
-3.3152 6.4024 -3.2444
-0.2100 -0.8678 7.8556
Ti Nb Au
6 5 1
Direct
0.7479 0.5788 0.9170 Ti
0.2521 0.4212 0.0830 Ti
0.2493 0.7499 0.7499 Ti
0.7479 0.9170 0.5788 Ti
0.7507 0.2501 0.2501 Ti
0.2521 0.0830 0.4212 Ti
0.5000 0.5000 0.5000 Nb
0.0000 0.6621 0.3379 Nb
0.0000 0.3379 0.6621 Nb
0.5000 0.8307 0.1693 Nb
0.5000 0.1693 0.8307 Nb
0.0000 0.0000 0.0000 Au
```

Values from the calculation:
- ΔE_f: -62 meV/atom

Here is a geometry-optimized Zr2TaTl structure from Alexandria. Energies are from GGA-PBE.

```
Zr2TaTl
1.0
5.2787 -0.0093 -0.0176
4.3535 2.9852 -0.0176
0.8429 0.2604 5.5129
Ta Zr Tl
1 2 1
Direct
0.7500 0.7500 0.7500 Ta
0.9989 0.9989 0.9939 Zr
0.5011 0.5011 0.5061 Zr
0.2500 0.2500 0.2500 Tl
```

Values from the calculation:
- ΔE to the lowest computed polymorph: 201 meV/atom
- ΔE_f: 197 meV/atom

Here is a geometry-optimized ScTiTl2Te structure from Alexandria. Energies are from GGA-PBE.

```
ScTiTl2Te
1.0
5.4600 0.0000 0.0000
0.0000 4.9606 0.0000
0.0000 0.0000 5.4600
Tl Te Sc Ti
2 1 1 1
Direct
0.0000 0.0000 0.5000 Tl
0.5000 0.0000 0.0000 Tl
0.5000 0.5000 0.5000 Te
0.0000 0.5000 0.0000 Sc
0.0000 0.0000 0.0000 Ti
```

Values from the calculation:
- Formation energy (no corrections): 0.40 eV/atom

Here is a geometry-optimized MgB6H14O17 structure from Alexandria. Energies are from GGA-PBE.

```
MgB6H14O17
1.0
10.1264 0.0000 0.0000
0.0000 11.3536 -0.0576
0.0000 -4.4470 11.9378
B O H Mg
24 68 56 4
Direct
0.4463 0.5605 0.3726 B
0.1755 0.6160 0.8229 B
0.6755 0.8840 0.1771 B
0.0775 0.6640 0.1038 B
0.0537 0.0605 0.3726 B
0.8738 0.0179 0.2276 B
0.9020 0.1013 0.8149 B
0.1262 0.9821 0.7724 B
0.1164 0.2116 0.9169 B
0.4225 0.1640 0.1038 B
0.9463 0.9395 0.6274 B
0.8245 0.3840 0.1771 B
0.5775 0.8360 0.8962 B
0.6262 0.5179 0.2276 B
0.3738 0.4821 0.7724 B
0.8836 0.7884 0.0831 B
0.0980 0.8987 0.1851 B
0.9225 0.3360 0.8962 B
0.4020 0.3987 0.1851 B
0.3836 0.7116 0.9169 B
0.5980 0.6013 0.8149 B
0.3245 0.1160 0.8229 B
0.6164 0.2884 0.0831 B
0.5537 0.4395 0.6274 B
0.2551 0.2180 0.8926 O
0.0394 0.6233 0.8218 O
0.4005 0.0024 0.3544 O
0.3502 0.2696 0.1615 O
0.8878 0.0780 0.1432 O
0.8478 0.6049 0.4661 O
0.5502 0.1690 0.0693 O
0.4498 0.8310 0.9307 O
0.8731 0.3447 0.4122 O
0.1391 0.5494 0.0802 O
0.6336 0.5474 0.8986 O
0.9026 0.8193 0.9782 O
0.1301 0.7635 0.3957 O
0.8664 0.0474 0.8986 O
0.8699 0.2365 0.6043 O
0.4475 0.6085 0.8197 O
0.0974 0.1807 0.0218 O
0.4026 0.6807 0.0218 O
0.8502 0.2304 0.8385 O
0.9498 0.6690 0.0693 O
0.0995 0.5024 0.3544 O
0.3731 0.1553 0.5878 O
0.2650 0.0068 0.7555 O
0.6269 0.8447 0.4122 O
0.8616 0.0259 0.7002 O
0.0659 0.9095 0.6641 O
0.4062 0.6162 0.4822 O
0.3664 0.4526 0.1014 O
0.9341 0.0905 0.3359 O
0.9062 0.8838 0.5178 O
0.3878 0.4220 0.8568 O
0.1384 0.9741 0.2998 O
0.7650 0.4932 0.2445 O
0.7551 0.2820 0.1074 O
0.1522 0.3951 0.5339 O
0.5525 0.3915 0.1803 O
0.2350 0.5068 0.7555 O
0.4341 0.4095 0.6641 O
0.3478 0.8951 0.5339 O
0.1269 0.6553 0.5878 O
0.7449 0.7820 0.1074 O
0.8609 0.4506 0.9198 O
0.1122 0.9220 0.8568 O
0.3699 0.2635 0.3957 O
0.3609 0.0494 0.0802 O
0.5938 0.3838 0.5178 O
0.1336 0.9526 0.1014 O
0.0525 0.1085 0.8197 O
0.6391 0.9506 0.9198 O
0.5974 0.3193 0.9782 O
0.3616 0.4741 0.2998 O
0.0502 0.3310 0.9307 O
0.9606 0.3767 0.1782 O
0.2449 0.7180 0.8926 O
0.7350 0.9932 0.2445 O
0.5394 0.8767 0.1782 O
0.1498 0.7696 0.1615 O
0.6522 0.1049 0.4661 O
0.5995 0.9976 0.6456 O
0.6122 0.5780 0.1432 O
0.4606 0.1233 0.8218 O
0.9475 0.8915 0.1803 O
0.0938 0.1162 0.4822 O
0.6498 0.7304 0.8385 O
0.6384 0.5259 0.7002 O
0.9005 0.4976 0.6456 O
0.5659 0.5905 0.3359 O
0.6301 0.7365 0.6043 O
0.8209 0.8005 0.9336 H
0.3204 0.3602 0.8572 H
0.1055 0.7465 0.6124 H
0.2179 0.6453 0.5589 H
0.8204 0.1398 0.1428 H
0.1188 0.6716 0.3776 H
0.0956 0.4719 0.0280 H
0.8812 0.3284 0.6224 H
0.6055 0.7535 0.3876 H
0.4990 0.2012 0.8772 H
0.3592 0.2755 0.3234 H
0.5505 0.0442 0.7173 H
0.5010 0.7988 0.1228 H
0.9990 0.2988 0.1228 H
0.3812 0.1716 0.3776 H
0.3209 0.6995 0.0664 H
0.0220 0.1670 0.5304 H
0.6796 0.6398 0.1428 H
0.4044 0.9719 0.0280 H
0.3048 0.9833 0.3385 H
0.2774 0.4911 0.1066 H
0.6408 0.7245 0.6766 H
0.7179 0.8547 0.4411 H
0.7821 0.3547 0.4411 H
0.2244 0.3471 0.4851 H
0.3116 0.9305 0.6110 H
0.8116 0.5695 0.3890 H
0.1884 0.4305 0.6110 H
0.2756 0.8471 0.4851 H
0.6791 0.3005 0.9336 H
0.4495 0.9558 0.2827 H
0.1952 0.4833 0.3385 H
0.9044 0.5281 0.9720 H
0.8048 0.5167 0.6615 H
0.6188 0.8284 0.6224 H
0.9495 0.5442 0.7173 H
0.7756 0.6529 0.5149 H
0.1408 0.7755 0.3234 H
0.5956 0.0281 0.9720 H
0.2821 0.1453 0.5589 H
0.4780 0.6670 0.5304 H
0.7244 0.1529 0.5149 H
0.9780 0.8330 0.4696 H
0.8945 0.2535 0.3876 H
0.8592 0.2245 0.6766 H
0.7226 0.5089 0.8934 H
0.1796 0.8602 0.8572 H
0.6884 0.0695 0.3890 H
0.7774 0.0089 0.8934 H
0.5220 0.3330 0.4696 H
0.2226 0.9911 0.1066 H
0.1791 0.1995 0.0664 H
0.6952 0.0167 0.6615 H
0.3945 0.2465 0.6124 H
0.0505 0.4558 0.2827 H
0.0010 0.7012 0.8772 H
0.0000 0.0000 0.0000 Mg
0.0000 0.5000 0.5000 Mg
0.5000 0.0000 0.5000 Mg
0.5000 0.5000 0.0000 Mg
```

Values from the calculation:
- DFT total energy: -951.33 eV for the cell shown

Here is a geometry-optimized Cu2AuBr structure from Alexandria. Energies are from GGA-PBE.

```
Cu2AuBr
1.0
3.2851 0.6304 0.0000
-0.6113 3.2887 0.0000
0.0000 0.0000 6.5442
Br Cu Au
1 2 1
Direct
0.5000 0.5000 0.8283 Br
0.5000 0.5000 0.2277 Cu
0.0000 0.0000 0.0266 Cu
0.0000 0.0000 0.4174 Au
```

Values from the calculation:
- ΔE to the lowest computed polymorph: 108 meV/atom
- Formation energy (no corrections): 0.13 eV/atom

Question: What is the formula in the fifth record?
Answer: NaSr2Eu